# TiAlCrO6 (PBE with a Hubbard U, relaxed)
data_TiAlCrO6
_cell_length_a 4.5178
_cell_length_b 4.5178
_cell_length_c 8.7801
_cell_angle_alpha 90.00
_cell_angle_beta 90.00
_cell_angle_gamma 90.00
_symmetry_space_group_name_H-M 'P 42 n m'
_symmetry_Int_Tables_number 102
loop_
_symmetry_equiv_pos_as_xyz
'x,y,z'
'-y+1/2,x+1/2,z+1/2'
'-x,-y,z'
'y+1/2,-x+1/2,z+1/2'
'-x+1/2,y+1/2,z+1/2'
'y,x,z'
'x+1/2,-y+1/2,z+1/2'
'-y,-x,z'
loop_
_atom_site_label
_atom_site_type_symbol
_atom_site_fract_x
_atom_site_fract_y
_atom_site_fract_z
Ti1 Ti 0.0000 0.0000 0.0000
Al1 Al 0.0000 0.0000 0.6637
Cr1 Cr 0.0000 0.0000 0.3311
O1 O 0.1921 0.1921 0.4964
O2 O 0.2012 0.2012 0.1636
O3 O 0.2020 0.2020 0.8255
# E_tot = -138.49 eV per cell
# Magnetic moment = 2.01 Bohr magnetons per cell